# 1
# SrSiRu2

An optimized crystal structure of SrSiRu2 (PBE, Alexandria via LeMat-Bulk).

For the total energy, the calculation gives -6.342 eV per atom. Its raw formation energy is 0.07 eV per atom. The calculation puts the total magnetic moment at 0.00 μB per atom.

CIF file:
```
data_SrSiRu2
_cell_length_a 3.0794
_cell_length_b 3.0794
_cell_length_c 7.3408
_cell_angle_alpha 90.00
_cell_angle_beta 90.00
_cell_angle_gamma 90.00
_symmetry_space_group_name_H-M 'P 1'
_symmetry_Int_Tables_number 1
loop_
_symmetry_equiv_pos_as_xyz
'x,y,z'
loop_
_atom_site_label
_atom_site_fract_x
_atom_site_fract_y
_atom_site_fract_z
Sr1 0.0000 0.0000 0.0000
Si1 0.0000 0.0000 0.5000
Ru1 0.5000 0.5000 0.3198
Ru2 0.5000 0.5000 0.6802
```

***

# 2
# Sr2SiRu

An optimized crystal structure of Sr2SiRu (PBE, Alexandria via LeMat-Bulk).

For the total energy, the calculation gives -3.940 eV per atom. Its raw formation energy is 0.58 eV per atom. The calculation puts the total magnetic moment at 0.00 μB per atom.

CIF file:
```
data_Sr2SiRu
_cell_length_a 9.6534
_cell_length_b 9.6534
_cell_length_c 9.6534
_cell_angle_alpha 21.55
_cell_angle_beta 21.55
_cell_angle_gamma 21.55
_symmetry_space_group_name_H-M 'P 1'
_symmetry_Int_Tables_number 1
loop_
_symmetry_equiv_pos_as_xyz
'x,y,z'
loop_
_atom_site_label
_atom_site_fract_x
_atom_site_fract_y
_atom_site_fract_z
Sr1 0.2445 0.2445 0.2445
Sr2 0.7555 0.7555 0.7555
Si1 0.0000 0.0000 0.0000
Ru1 0.5000 0.5000 0.5000
```

***

# 3
# SrSiRu2

An optimized crystal structure of SrSiRu2 (PBE, Alexandria via LeMat-Bulk).

For the total energy, the calculation gives -6.303 eV per atom. Its raw formation energy is 0.11 eV per atom. The calculation puts the total magnetic moment at 0.00 μB per atom.

CIF file:
```
data_SrSiRu2
_cell_length_a 3.1128
_cell_length_b 3.7062
_cell_length_c 6.6306
_cell_angle_alpha 90.00
_cell_angle_beta 101.20
_cell_angle_gamma 90.00
_symmetry_space_group_name_H-M 'P 1'
_symmetry_Int_Tables_number 1
loop_
_symmetry_equiv_pos_as_xyz
'x,y,z'
loop_
_atom_site_label
_atom_site_fract_x
_atom_site_fract_y
_atom_site_fract_z
Sr1 0.0000 0.0000 0.0000
Si1 0.0000 0.0000 0.5000
Ru1 0.3600 0.5000 0.6753
Ru2 0.6400 0.5000 0.3247
```

***

# 4
# Sr2SiRu

An optimized crystal structure of Sr2SiRu (PBE, Alexandria via LeMat-Bulk).

For the total energy, the calculation gives -4.165 eV per atom. Its raw formation energy is 0.35 eV per atom. The calculation puts the total magnetic moment at 0.00 μB per atom.

CIF file:
```
data_Sr2SiRu
_cell_length_a 3.7122
_cell_length_b 3.9747
_cell_length_c 6.7278
_cell_angle_alpha 90.00
_cell_angle_beta 90.00
_cell_angle_gamma 90.00
_symmetry_space_group_name_H-M 'P 1'
_symmetry_Int_Tables_number 1
loop_
_symmetry_equiv_pos_as_xyz
'x,y,z'
loop_
_atom_site_label
_atom_site_fract_x
_atom_site_fract_y
_atom_site_fract_z
Sr1 0.0000 0.0000 0.2444
Sr2 0.0000 0.0000 0.7556
Si1 0.5000 0.5000 0.5000
Ru1 0.5000 0.5000 0.0000
```

***

# 5
# SrSi3Ru

An optimized crystal structure of SrSi3Ru (PBE, Alexandria via LeMat-Bulk).

For the total energy, the calculation gives -5.366 eV per atom. Its raw formation energy is 0.08 eV per atom. The calculation puts the total magnetic moment at 0.00 μB per atom.

CIF file:
```
data_SrSi3Ru
_cell_length_a 4.7308
_cell_length_b 4.7308
_cell_length_c 4.7308
_cell_angle_alpha 90.00
_cell_angle_beta 90.00
_cell_angle_gamma 90.00
_symmetry_space_group_name_H-M 'P 1'
_symmetry_Int_Tables_number 1
loop_
_symmetry_equiv_pos_as_xyz
'x,y,z'
loop_
_atom_site_label
_atom_site_fract_x
_atom_site_fract_y
_atom_site_fract_z
Sr1 0.0000 0.0000 0.0000
Si1 0.0000 0.5000 0.5000
Si2 0.5000 0.0000 0.5000
Si3 0.5000 0.5000 0.0000
Ru1 0.5000 0.5000 0.5000
```

***

# 6
# SrSiRu2

An optimized crystal structure of SrSiRu2 (PBE, Alexandria via LeMat-Bulk).

For the total energy, the calculation gives -6.180 eV per atom. Its raw formation energy is 0.23 eV per atom. The calculation puts the total magnetic moment at 0.00 μB per atom.

CIF file:
```
data_SrSiRu2
_cell_length_a 5.4035
_cell_length_b 5.4035
_cell_length_c 5.4035
_cell_angle_alpha 146.88
_cell_angle_beta 120.68
_cell_angle_gamma 69.65
_symmetry_space_group_name_H-M 'P 1'
_symmetry_Int_Tables_number 1
loop_
_symmetry_equiv_pos_as_xyz
'x,y,z'
loop_
_atom_site_label
_atom_site_fract_x
_atom_site_fract_y
_atom_site_fract_z
Sr1 0.0000 0.0000 0.0000
Si1 0.5000 0.5000 0.0000
Ru1 0.2982 0.7982 0.5000
Ru2 0.7018 0.2018 0.5000
```

***

# 7
# SrSiRu2

An optimized crystal structure of SrSiRu2 (PBE, Alexandria via LeMat-Bulk).

For the total energy, the calculation gives -6.239 eV per atom. Its raw formation energy is 0.18 eV per atom. The calculation puts the total magnetic moment at 0.00 μB per atom.

CIF file:
```
data_SrSiRu2
_cell_length_a 8.9118
_cell_length_b 8.9118
_cell_length_c 8.9118
_cell_angle_alpha 148.65
_cell_angle_beta 148.65
_cell_angle_gamma 44.93
_symmetry_space_group_name_H-M 'P 1'
_symmetry_Int_Tables_number 1
loop_
_symmetry_equiv_pos_as_xyz
'x,y,z'
loop_
_atom_site_label
_atom_site_fract_x
_atom_site_fract_y
_atom_site_fract_z
Sr1 0.0000 0.0000 0.0000
Sr2 0.7500 0.2500 0.5000
Si1 0.2500 0.7500 0.5000
Si2 0.5000 0.5000 0.0000
Ru1 0.3490 0.6250 0.2240
Ru2 0.3750 0.5990 0.7240
Ru3 0.4010 0.1250 0.7760
Ru4 0.8750 0.6510 0.2760
```

***

# 8
# SrZn2SiRu2

An optimized crystal structure of SrZn2SiRu2 (PBE, Alexandria via LeMat-Bulk).

For the total energy, the calculation gives -4.886 eV per atom. Its raw formation energy is -0.18 eV per atom. The calculation puts the total magnetic moment at 0.00 μB per atom.

CIF file:
```
data_SrZn2SiRu2
_cell_length_a 4.4983
_cell_length_b 4.4983
_cell_length_c 5.9144
_cell_angle_alpha 90.00
_cell_angle_beta 90.00
_cell_angle_gamma 90.00
_symmetry_space_group_name_H-M 'P 1'
_symmetry_Int_Tables_number 1
loop_
_symmetry_equiv_pos_as_xyz
'x,y,z'
loop_
_atom_site_label
_atom_site_fract_x
_atom_site_fract_y
_atom_site_fract_z
Sr1 0.0000 0.0000 0.0000
Zn1 0.5000 0.5000 0.2556
Zn2 0.5000 0.5000 0.7444
Si1 0.0000 0.0000 0.5000
Ru1 0.0000 0.5000 0.5000
Ru2 0.5000 0.0000 0.5000
```

***

# 9
# Ta4Si5Ru2

An optimized crystal structure of Ta4Si5Ru2 (PBE, Alexandria via LeMat-Bulk).

For the total energy, the calculation gives -8.938 eV per atom. Its raw formation energy is -0.48 eV per atom. The calculation puts the total magnetic moment at 0.00 μB per atom.

CIF file:
```
data_Ta4Si5Ru2
_cell_length_a 9.2845
_cell_length_b 9.2845
_cell_length_c 9.2845
_cell_angle_alpha 130.37
_cell_angle_beta 60.78
_cell_angle_gamma 147.18
_symmetry_space_group_name_H-M 'P 1'
_symmetry_Int_Tables_number 1
loop_
_symmetry_equiv_pos_as_xyz
'x,y,z'
loop_
_atom_site_label
_atom_site_fract_x
_atom_site_fract_y
_atom_site_fract_z
Ta1 0.0638 0.7473 0.8111
Ta2 0.1404 0.1063 0.2466
Ta3 0.3596 0.6063 0.9659
Ta4 0.4362 0.2473 0.6835
Ta5 0.5638 0.7527 0.3165
Ta6 0.6404 0.3937 0.0341
Ta7 0.8596 0.8937 0.7534
Ta8 0.9362 0.2527 0.1889
Si1 0.0712 0.4201 0.4913
Si2 0.2200 0.7906 0.0106
Si3 0.2500 0.2500 0.0000
Si4 0.2800 0.2906 0.5707
Si5 0.4288 0.9201 0.3490
Si6 0.5712 0.0799 0.6510
Si7 0.7200 0.7094 0.4293
Si8 0.7500 0.7500 0.0000
Si9 0.7800 0.2094 0.9894
Si10 0.9288 0.5799 0.5087
Ru1 0.0542 0.7500 0.3042
Ru2 0.4458 0.7500 0.6958
Ru3 0.5542 0.2500 0.3042
Ru4 0.9458 0.2500 0.6958
```

***

# 10
# Ta2SiRu

An optimized crystal structure of Ta2SiRu (PBE, Alexandria via LeMat-Bulk).

For the total energy, the calculation gives -9.893 eV per atom. Its raw formation energy is -0.29 eV per atom. The calculation puts the total magnetic moment at 0.00 μB per atom.

CIF file:
```
data_Ta2SiRu
_cell_length_a 3.4747
_cell_length_b 4.1516
_cell_length_c 4.3419
_cell_angle_alpha 90.00
_cell_angle_beta 90.00
_cell_angle_gamma 90.00
_symmetry_space_group_name_H-M 'P 1'
_symmetry_Int_Tables_number 1
loop_
_symmetry_equiv_pos_as_xyz
'x,y,z'
loop_
_atom_site_label
_atom_site_fract_x
_atom_site_fract_y
_atom_site_fract_z
Ta1 0.0000 0.0000 0.0000
Ta2 0.5000 0.0000 0.5000
Si1 0.0000 0.5000 0.5000
Ru1 0.5000 0.5000 0.0000
```

***

# 11
# Ta2SiRu

An optimized crystal structure of Ta2SiRu (PBE, Alexandria via LeMat-Bulk).

For the total energy, the calculation gives -9.835 eV per atom. Its raw formation energy is -0.23 eV per atom. The calculation puts the total magnetic moment at 0.00 μB per atom.

CIF file:
```
data_Ta2SiRu
_cell_length_a 3.3414
_cell_length_b 3.3414
_cell_length_c 5.6826
_cell_angle_alpha 90.00
_cell_angle_beta 90.00
_cell_angle_gamma 90.00
_symmetry_space_group_name_H-M 'P 1'
_symmetry_Int_Tables_number 1
loop_
_symmetry_equiv_pos_as_xyz
'x,y,z'
loop_
_atom_site_label
_atom_site_fract_x
_atom_site_fract_y
_atom_site_fract_z
Ta1 0.0000 0.0000 0.2386
Ta2 0.0000 0.0000 0.7614
Si1 0.5000 0.5000 0.0000
Ru1 0.5000 0.5000 0.5000
```

***

# 12
# Ta2SiRu

An optimized crystal structure of Ta2SiRu (PBE, Alexandria via LeMat-Bulk).

For the total energy, the calculation gives -9.889 eV per atom. Its raw formation energy is -0.29 eV per atom. The calculation puts the total magnetic moment at 0.00 μB per atom.

CIF file:
```
data_Ta2SiRu
_cell_length_a 5.2639
_cell_length_b 5.2639
_cell_length_c 5.2639
_cell_angle_alpha 138.55
_cell_angle_beta 138.55
_cell_angle_gamma 60.06
_symmetry_space_group_name_H-M 'P 1'
_symmetry_Int_Tables_number 1
loop_
_symmetry_equiv_pos_as_xyz
'x,y,z'
loop_
_atom_site_label
_atom_site_fract_x
_atom_site_fract_y
_atom_site_fract_z
Ta1 0.0000 0.0000 0.0000
Ta2 0.7500 0.2500 0.5000
Si1 0.5000 0.5000 0.0000
Ru1 0.2500 0.7500 0.5000
```

***

What did the second record say?
# Sr2SiRu

An optimized crystal structure of Sr2SiRu (PBE, Alexandria via LeMat-Bulk).

For the total energy, the calculation gives -3.940 eV per atom. Its raw formation energy is 0.58 eV per atom. The calculation puts the total magnetic moment at 0.00 μB per atom.

CIF file:
```
data_Sr2SiRu
_cell_length_a 9.6534
_cell_length_b 9.6534
_cell_length_c 9.6534
_cell_angle_alpha 21.55
_cell_angle_beta 21.55
_cell_angle_gamma 21.55
_symmetry_space_group_name_H-M 'P 1'
_symmetry_Int_Tables_number 1
loop_
_symmetry_equiv_pos_as_xyz
'x,y,z'
loop_
_atom_site_label
_atom_site_fract_x
_atom_site_fract_y
_atom_site_fract_z
Sr1 0.2445 0.2445 0.2445
Sr2 0.7555 0.7555 0.7555
Si1 0.0000 0.0000 0.0000
Ru1 0.5000 0.5000 0.5000
```

***

- What is the raw formation energy in the first record?
  0.07 eV per atom

***

- What is the formula in the ninth record?
  Ta4Si5Ru2